[1]
# GdBiN2O

An optimized crystal structure of GdBiN2O (PBE-GGA, OQMD).

The structure in POSCAR format:
```
GdBiN2O
1.0
-3.5952 -0.5180 0.9482
1.0969 -2.4707 2.8092
0.3449 4.0660 3.4414
Bi Gd N O
1 1 2 1
direct
0.5003 0.0000 0.5799
0.9975 0.5000 0.1312
0.9993 0.0000 0.3890
0.5027 0.0000 0.9710
0.4991 0.5000 0.3893
```

Properties
Magnetic moment (μB/cell): 0.0
Symmetry: Pm (6)
Crystal system: monoclinic

***

[2]
# Er3Zr3Te2Ir

An optimized crystal structure of Er3Zr3Te2Ir (PBE-GGA, OQMD).

The structure in POSCAR format:
```
Er3Zr3Te2Ir
1.0
-7.1374 2.0610 3.3023
1.0544 -7.4500 -3.0791
1.1856 -1.2011 3.3121
Er Ir Te Zr
3 1 2 3
direct
0.7513 0.0000 0.5000
0.2487 0.2487 0.5000
0.0000 0.7513 0.5000
0.0000 0.0000 0.0000
0.6667 0.3333 0.5000
0.3333 0.6667 0.5000
0.4061 0.0000 0.0000
0.0000 0.4061 0.0000
0.5939 0.5939 0.0000
```

Properties
Magnetic moment (μB/cell): 0.0
Symmetry: P-62m (189)
Crystal system: hexagonal

***

[3]
# LaHfBeIr

An optimized crystal structure of LaHfBeIr (PBE-GGA, OQMD).

The structure in POSCAR format:
```
LaHfBeIr
1.0
0.0000 3.4186 3.4186
3.4186 0.0000 3.4186
3.4186 3.4186 0.0000
Be Hf Ir La
1 1 1 1
direct
0.7500 0.7500 0.7500
0.0000 0.0000 0.0000
0.2500 0.2500 0.2500
0.5000 0.5000 0.5000
```

Properties
Magnetic moment (μB/cell): 0.0
Symmetry: F-43m (216)
Crystal system: cubic

***

[4]
# Ho3Mg3AlPt2

An optimized crystal structure of Ho3Mg3AlPt2 (PBE-GGA, OQMD).

The structure in POSCAR format:
```
Ho3Mg3AlPt2
1.0
-2.5990 0.3548 6.9091
7.1623 -1.3816 -1.1873
0.8014 4.0751 0.0922
Al Ho Mg Pt
1 3 3 2
direct
0.0000 0.0000 0.0000
0.4228 0.0000 0.0000
0.0000 0.4228 0.0000
0.5772 0.5772 0.0000
0.7488 0.0000 0.5000
0.2512 0.2512 0.5000
0.0000 0.7488 0.5000
0.6667 0.3333 0.5000
0.3333 0.6667 0.5000
```

Properties
Magnetic moment (μB/cell): 0.0
Symmetry: P-62m (189)
Crystal system: hexagonal

***

[5]
# HgF3

An optimized crystal structure of HgF3 (PBE-GGA, OQMD).

The structure in POSCAR format:
```
HgF3
1.0
3.5165 -2.6922 0.0000
3.5165 2.6922 0.0000
-1.5897 0.0000 5.4334
F Hg
6 2
direct
0.1712 0.8288 0.0000
0.4101 0.1020 0.0865
0.9017 0.2421 0.3108
0.3190 0.6810 0.5000
0.7579 0.0983 0.6892
0.8980 0.5899 0.9135
0.7589 0.7504 0.3225
0.2496 0.2411 0.6775
```

Properties
Symmetry: C2 (5)
Crystal system: monoclinic

***

[6]
# LiCdHgAu

An optimized crystal structure of LiCdHgAu (PBE-GGA, OQMD).

The structure in POSCAR format:
```
LiCdHgAu
1.0
0.0000 3.3524 3.3524
3.3524 0.0000 3.3524
3.3524 3.3524 0.0000
Au Cd Hg Li
1 1 1 1
direct
0.2500 0.2500 0.2500
0.0000 0.0000 0.0000
0.5000 0.5000 0.5000
0.7500 0.7500 0.7500
```

Properties
Symmetry: F-43m (216)
Crystal system: cubic

***

Number 1: V 78 Å³ per cell, E_tot -6.5630 eV per atom. Number 2: V 213 Å³ per cell, E_tot -6.6906 eV per atom. Number 3: V 80 Å³ per cell, E_tot -6.9740 eV per atom. Number 4: V 196 Å³ per cell, E_tot -4.5014 eV per atom. Number 5: V 103 Å³ per cell, E_tot -2.3661 eV per atom. Number 6: V 75 Å³ per cell, E_tot -1.8853 eV per atom.